1.
First-principles (SCAN) data for a crystal of Li4Ti3Nb2Co3O16 relaxed with PBEsol, as listed in Alexandria.

a = 5.8002 Å, b = 5.8002 Å, c = 9.7304 Å
α = 90.14°, β = 90.14°, γ = 60.57°
Closest atoms and distances in Å follow each position.
Fractional coordinates of all 28 atoms:
Li (0.0000, 0.0000, 0.0000)  4 O 1.83-2.03
Li (0.0048, 0.0048, 0.5077)  4 O 1.85-1.94
Li (0.3423, 0.3423, 0.4181)  4 O 1.93-1.96
Li (0.6806, 0.6806, 0.9165)  4 O 1.89-1.97
Ti (0.1790, 0.1790, 0.7406)  4 O 1.90-1.95
Ti (0.3511, 0.8471, 0.2321)  5 O 1.87-1.99
Ti (0.8471, 0.3511, 0.2321)  5 O 1.87-1.99
Nb (0.3548, 0.3548, 0.0002)  5 O 1.93-2.10
Nb (0.6773, 0.6773, 0.5127)  3 O 1.86-1.92
Co (0.1933, 0.6515, 0.7270)  6 O 1.94-2.15
Co (0.6515, 0.1933, 0.7270)  6 O 1.94-2.15
Co (0.8308, 0.8308, 0.2248)  6 O 1.91-2.04
O (0.0030, 0.0030, 0.8122)  1 Li 1.83, 1 Ti 1.90, 2 Co 1.96
O (0.0383, 0.4753, 0.8614)  1 Li 1.89, 1 Ti 1.90, 1 Nb 2.10, 1 Co 2.12
O (0.1682, 0.6753, 0.1106)  1 Nb 1.95, 1 Li 1.96, 1 Co 2.04, 1 Ti 2.13
O (0.1693, 0.1693, 0.1150)  2 Ti 1.99, 1 Li 2.03, 1 Nb 2.17
O (0.3317, 0.3317, 0.6166)  1 Li 1.93, 2 Co 1.94, 1 Ti 1.95
O (0.3413, 0.8462, 0.6039)  1 Nb 1.92, 1 Li 1.94, 1 Co 2.10, 1 Ti 2.14
O (0.4753, 0.0383, 0.8614)  1 Li 1.89, 1 Ti 1.90, 1 Nb 2.10, 1 Co 2.12
O (0.4973, 0.4973, 0.8668)  1 Li 1.90, 1 Nb 1.93, 2 Co 2.05
O (0.5145, 0.9751, 0.3525)  1 Ti 1.87, 1 Li 1.96, 1 Co 2.03
O (0.5237, 0.5237, 0.3446)  1 Li 1.95, 2 Ti 1.97
O (0.6695, 0.6695, 0.1182)  1 Co 1.92, 2 Ti 1.96, 1 Li 1.97
O (0.6753, 0.1682, 0.1106)  1 Nb 1.95, 1 Li 1.96, 1 Co 2.04, 1 Ti 2.13
O (0.8410, 0.8410, 0.6034)  1 Nb 1.86, 1 Li 1.89
O (0.8462, 0.3413, 0.6039)  1 Nb 1.92, 1 Li 1.94, 1 Co 2.10, 1 Ti 2.14
O (0.9751, 0.5145, 0.3525)  1 Ti 1.87, 1 Li 1.96, 1 Co 2.03
O (0.9992, 0.9992, 0.3173)  1 Li 1.85, 1 Co 1.91, 2 Ti 1.97

DFT total energy ... -346.06 eV/cell
Uncorrected formation energy ... -2519 meV/atom



2.
First-principles (SCAN) data for a crystal of TlCrTe2 relaxed with PBEsol, as listed in Alexandria.

a = 4.0115 Å, b = 4.0115 Å, c = 7.7743 Å
α = 90.00°, β = 90.00°, γ = 120.00°
Closest atoms and distances in Å follow each position.
Fractional coordinates of all 4 atoms:
Tl (0.0000, 0.0000, 0.0000)  6 Te 3.38
Cr (0.0000, 0.0000, 0.5000)  6 Te 2.72
Te (0.3333, 0.6667, 0.3167)  3 Cr 2.72
Te (0.6667, 0.3333, 0.6833)  3 Cr 2.72

DFT total energy ... -166.95 eV/cell
Uncorrected formation energy ... -427 meV/atom



3.
First-principles (SCAN) data for a crystal of Lu5SbPt2 relaxed with PBEsol, as listed in Alexandria.

a = 8.4590 Å, b = 8.4590 Å, c = 8.4590 Å
α = 127.55°, β = 127.55°, γ = 77.36°
Closest atoms and distances in Å follow each position.
Fractional coordinates of all 16 atoms:
Lu (0.0000, 0.0000, 0.0000)  4 Pt 2.89
Lu (0.0170, 0.5170, 0.8134)  3 Pt 2.84-2.88, 2 Sb 3.18
Lu (0.2036, 0.0170, 0.5000)  3 Pt 2.84-2.88, 2 Sb 3.18
Lu (0.2964, 0.7964, 0.8134)  3 Pt 2.84-2.88, 2 Sb 3.18
Lu (0.4830, 0.2964, 0.5000)  3 Pt 2.84-2.88, 2 Sb 3.18
Lu (0.5000, 0.5000, 0.0000)  4 Pt 2.89
Lu (0.5170, 0.7036, 0.5000)  3 Pt 2.84-2.88, 2 Sb 3.18
Lu (0.7036, 0.2036, 0.1866)  3 Pt 2.84-2.88, 2 Sb 3.18
Lu (0.7964, 0.9830, 0.5000)  3 Pt 2.84-2.88, 2 Sb 3.18
Lu (0.9830, 0.4830, 0.1866)  3 Pt 2.84-2.88, 2 Sb 3.18
Sb (0.2500, 0.2500, 0.0000)  10 Lu 3.18-3.30
Sb (0.7500, 0.7500, 0.0000)  10 Lu 3.18-3.30
Pt (0.1388, 0.3612, 0.5000)  8 Lu 2.84-2.89, 1 Pt 2.94
Pt (0.3612, 0.8612, 0.2224)  8 Lu 2.84-2.89, 1 Pt 2.94
Pt (0.6388, 0.1388, 0.7776)  8 Lu 2.84-2.89, 1 Pt 2.94
Pt (0.8612, 0.6388, 0.5000)  8 Lu 2.84-2.89, 1 Pt 2.94

DFT total energy ... -928.07 eV/cell
Uncorrected formation energy ... -1208 meV/atom



4.
First-principles (SCAN) data for a crystal of Sr2FeBr relaxed with PBEsol, as listed in Alexandria.

a = 5.5657 Å, b = 5.5657 Å, c = 3.5533 Å
α = 90.00°, β = 90.00°, γ = 90.00°
Closest atoms and distances in Å follow each position.
Fractional coordinates of all 4 atoms:
Sr (0.0000, 0.5000, 0.0000)  4 Fe 3.30, 4 Br 3.30, 2 Sr 3.55
Sr (0.5000, 0.0000, 0.0000)  4 Fe 3.30, 4 Br 3.30, 2 Sr 3.55
Fe (0.0000, 0.0000, 0.5000)  8 Sr 3.30, 2 Fe 3.55
Br (0.5000, 0.5000, 0.5000)  8 Sr 3.30, 2 Br 3.55

DFT total energy ... -83.31 eV/cell
Uncorrected formation energy ... -293 meV/atom
Polymorph energy (0 for the lowest one) ... 0.05 eV per formula unit



5.
First-principles (SCAN) data for a crystal of HfHRu2Br relaxed with PBEsol, as listed in Alexandria.

a = 4.7513 Å, b = 4.7513 Å, c = 3.2297 Å
α = 90.00°, β = 90.00°, γ = 90.00°
Closest atoms and distances in Å follow each position.
Fractional coordinates of all 5 atoms:
Hf (0.0000, 0.0000, 0.0000)  8 Ru 2.87
H (0.5000, 0.5000, 0.0000)  2 Br 1.61
Ru (0.0000, 0.5000, 0.5000)  2 Br 2.38
Ru (0.5000, 0.0000, 0.5000)  2 Br 2.38
Br (0.5000, 0.5000, 0.5000)  2 H 1.61

DFT total energy ... -151.12 eV/cell



6.
First-principles (SCAN) data for a crystal of K2HfAlSb relaxed with PBEsol, as listed in Alexandria.

a = 5.7108 Å, b = 5.7108 Å, c = 5.3493 Å
α = 90.00°, β = 90.00°, γ = 90.00°
Closest atoms and distances in Å follow each position.
Fractional coordinates of all 5 atoms:
K (0.0000, 0.5000, 0.0000)  2 Al 2.86
K (0.5000, 0.0000, 0.0000)  2 Al 2.86
Hf (0.0000, 0.0000, 0.5000)  2 Al 2.67
Al (0.0000, 0.0000, 0.0000)  2 Hf 2.67, 4 K 2.86
Sb (0.5000, 0.5000, 0.5000)  8 K 3.91, 4 Hf 4.04

DFT total energy ... -119.82 eV/cell
Uncorrected formation energy ... 904 meV/atom



7.
First-principles (SCAN) data for a crystal of NbSn3Cl relaxed with PBEsol, as listed in Alexandria.

a = 5.0906 Å, b = 5.0906 Å, c = 5.0906 Å
α = 90.00°, β = 90.00°, γ = 90.00°
Closest atoms and distances in Å follow each position.
Fractional coordinates of all 5 atoms:
Nb (0.0000, 0.0000, 0.0000)  12 Sn 3.60
Sn (0.0000, 0.5000, 0.5000)  2 Cl 2.55
Sn (0.5000, 0.0000, 0.5000)  2 Cl 2.55
Sn (0.5000, 0.5000, 0.0000)  2 Cl 2.55
Cl (0.5000, 0.5000, 0.5000)  6 Sn 2.55

DFT total energy ... -143.97 eV/cell
Uncorrected formation energy ... 980 meV/atom



8.
First-principles (SCAN) data for a crystal of Ca2TaAg relaxed with PBEsol, as listed in Alexandria.

a = 5.4921 Å, b = 5.4921 Å, c = 3.1553 Å
α = 90.00°, β = 90.00°, γ = 90.00°
Closest atoms and distances in Å follow each position.
Fractional coordinates of all 4 atoms:
Ca (0.0000, 0.5000, 0.0000)  2 Ca 3.16, 4 Ta 3.17, 4 Ag 3.17
Ca (0.5000, 0.0000, 0.0000)  2 Ca 3.16, 4 Ta 3.17, 4 Ag 3.17
Ta (0.0000, 0.0000, 0.5000)  2 Ta 3.16, 8 Ca 3.17
Ag (0.5000, 0.5000, 0.5000)  2 Ag 3.16, 8 Ca 3.17

DFT total energy ... -114.86 eV/cell
Polymorph energy (0 for the lowest one) ... 0.82 eV per formula unit
Formation enthalpy at 0 K ... 0.606 eV per atom



9.
First-principles (SCAN) data for a crystal of FeIr2W relaxed with PBEsol, as listed in Alexandria.

a = 2.7210 Å, b = 3.7452 Å, c = 5.4050 Å
α = 90.00°, β = 90.00°, γ = 90.00°
Closest atoms and distances in Å follow each position.
Fractional coordinates of all 4 atoms:
Fe (0.0000, 0.0000, 0.0000)  8 Ir 2.66, 2 W 2.70, 2 Fe 2.72
Ir (0.5000, 0.5000, 0.2409)  4 Ir 2.60-2.80, 4 Fe 2.66, 4 W 2.71
Ir (0.5000, 0.5000, 0.7591)  4 Ir 2.60-2.80, 4 Fe 2.66, 4 W 2.71
W (0.0000, 0.0000, 0.5000)  2 Fe 2.70, 8 Ir 2.71, 2 W 2.72

DFT total energy ... -231.29 eV/cell
Polymorph energy (0 for the lowest one) ... 0.09 eV per formula unit
Formation enthalpy at 0 K ... -0.319 eV per atom



10.
First-principles (SCAN) data for a crystal of AgPt3 relaxed with PBEsol, as listed in Alexandria.

a = 9.4272 Å, b = 9.4272 Å, c = 9.4272 Å
α = 16.79°, β = 16.79°, γ = 16.79°
Closest atoms and distances in Å follow each position.
Fractional coordinates of all 4 atoms:
Ag (0.0000, 0.0000, 0.0000)  6 Ag 2.75, 6 Pt 2.84
Pt (0.2491, 0.2491, 0.2491)  9 Pt 2.75-2.79, 3 Ag 2.84
Pt (0.5000, 0.5000, 0.5000)  12 Pt 2.75-2.79
Pt (0.7509, 0.7509, 0.7509)  9 Pt 2.75-2.79, 3 Ag 2.84

DFT total energy ... -241.86 eV/cell
Formation enthalpy at 0 K ... 0.021 eV per atom



11.
First-principles (SCAN) data for a crystal of LaSc2 relaxed with PBEsol, as listed in Alexandria.

a = 3.3891 Å, b = 3.3891 Å, c = 16.1306 Å
α = 90.00°, β = 90.00°, γ = 120.00°
Closest atoms and distances in Å follow each position.
Fractional coordinates of all 6 atoms:
La (0.0000, 0.0000, 0.1719)  6 La 3.39, 6 Sc 3.39-3.44
La (0.0000, 0.0000, 0.8281)  6 La 3.39, 6 Sc 3.39-3.44
Sc (0.0000, 0.0000, 0.5000)  12 Sc 3.14-3.39
Sc (0.3333, 0.6667, 0.0000)  6 Sc 3.39, 6 La 3.39
Sc (0.3333, 0.6667, 0.3476)  9 Sc 3.14-3.39, 3 La 3.44
Sc (0.3333, 0.6667, 0.6524)  9 Sc 3.14-3.39, 3 La 3.44

DFT total energy ... -142.55 eV/cell
Polymorph energy (0 for the lowest one) ... 0.10 eV per formula unit
Formation enthalpy at 0 K ... 0.102 eV per atom



12.
First-principles (SCAN) data for a crystal of LaYN3 relaxed with PBEsol, as listed in Alexandria.

a = 4.2732 Å, b = 4.2732 Å, c = 4.2732 Å
α = 90.00°, β = 90.00°, γ = 90.00°
Closest atoms and distances in Å follow each position.
Fractional coordinates of all 5 atoms:
La (0.0000, 0.0000, 0.0000)  6 N 2.14
Y (0.5000, 0.5000, 0.5000)  12 N 3.02
N (0.0000, 0.0000, 0.5000)  2 La 2.14
N (0.0000, 0.5000, 0.0000)  2 La 2.14
N (0.5000, 0.0000, 0.0000)  2 La 2.14

DFT total energy ... -98.32 eV/cell
Uncorrected formation energy ... 100 meV/atom



- The highest DFT total energy belongs to which entry?
  Sr2FeBr



- Which of these has the lowest DFT total energy?
  Lu5SbPt2